Crystalline YTl2Rh at its relaxed geometry, computed with PBE-GGA.

Output
**ΔH_f (0 K)**: -234.6 meV per atom

```
data_YTl2Rh
_symmetry_space_group_name_H-M 'C 1 m 1'
_symmetry_Int_Tables_number 8
_symmetry_space_group_name_Hall 'C -2y'
_cell_length_a 9.574
_cell_length_b 4.205
_cell_length_c 5.921
_cell_angle_alpha 90.00
_cell_angle_beta 124.70
_cell_angle_gamma 90.00
loop_
_atom_site_label
_atom_site_type_symbol
_atom_site_fract_x
_atom_site_fract_y
_atom_site_fract_z
Y1 Y 0.000 0.000 0.000
Tl1 Tl 0.097 0.500 0.672
Tl2 Tl 0.315 0.500 0.329
Rh1 Rh 0.272 0.000 0.619
```

---

Crystalline YTl2Rh at its relaxed geometry, computed with PBE-GGA.

Output
**ΔH_f (0 K)**: -231.3 meV per atom

```
data_YTl2Rh
_symmetry_space_group_name_H-M 'P 4 m m'
_symmetry_Int_Tables_number 99
_symmetry_space_group_name_Hall 'P 4 -2'
_cell_length_a 3.540
_cell_length_b 3.540
_cell_length_c 7.668
_cell_angle_alpha 90.00
_cell_angle_beta 90.00
_cell_angle_gamma 90.00
loop_
_atom_site_label
_atom_site_type_symbol
_atom_site_fract_x
_atom_site_fract_y
_atom_site_fract_z
Y1 Y 0.000 0.000 0.000
Tl1 Tl 0.000 0.000 0.416
Tl2 Tl 0.500 0.500 0.704
Rh1 Rh 0.500 0.500 0.189
```

---

Crystalline Y5Tl2Rh at its relaxed geometry, computed with PBE-GGA.

Output
**ΔH_f (0 K)**: -465.3 meV per atom

```
data_Y5Tl2Rh
_symmetry_space_group_name_H-M 'P b a m'
_symmetry_Int_Tables_number 55
_symmetry_space_group_name_Hall '-P 2 2ab'
_cell_length_a 7.488
_cell_length_b 12.366
_cell_length_c 4.753
_cell_angle_alpha 90.00
_cell_angle_beta 90.00
_cell_angle_gamma 90.00
loop_
_atom_site_label
_atom_site_type_symbol
_atom_site_fract_x
_atom_site_fract_y
_atom_site_fract_z
Y1 Y 0.000 0.000 0.000
Y2 Y 0.134 0.293 0.000
Y3 Y 0.181 0.578 0.500
Tl1 Tl 0.085 0.834 0.500
Rh1 Rh 0.000 0.500 0.000
```

---

Crystalline Y2TlRh at its relaxed geometry, computed with PBE-GGA.

Output
**ΔH_f (0 K)**: -495.2 meV per atom

```
data_Y2TlRh
_symmetry_space_group_name_H-M 'I m m m'
_symmetry_Int_Tables_number 71
_symmetry_space_group_name_Hall '-I 2 2'
_cell_length_a 4.480
_cell_length_b 5.327
_cell_length_c 8.074
_cell_angle_alpha 90.00
_cell_angle_beta 90.00
_cell_angle_gamma 90.00
loop_
_atom_site_label
_atom_site_type_symbol
_atom_site_fract_x
_atom_site_fract_y
_atom_site_fract_z
Y1 Y 0.000 0.000 0.222
Tl1 Tl 0.000 0.500 0.000
Rh1 Rh 0.000 0.500 0.500
```

---

Crystalline Y4Tl3Rh at its relaxed geometry, computed with PBE-GGA.

Output
**ΔH_f (0 K)**: -495.6 meV per atom

```
data_Y4Tl3Rh
_symmetry_space_group_name_H-M 'P 4/m m m'
_symmetry_Int_Tables_number 123
_symmetry_space_group_name_Hall '-P 4 2'
_cell_length_a 3.577
_cell_length_b 3.577
_cell_length_c 16.027
_cell_angle_alpha 90.00
_cell_angle_beta 90.00
_cell_angle_gamma 90.00
loop_
_atom_site_label
_atom_site_type_symbol
_atom_site_fract_x
_atom_site_fract_y
_atom_site_fract_z
Y1 Y 0.000 0.000 0.102
Y2 Y 0.000 0.000 0.368
Tl1 Tl 0.500 0.500 0.238
Tl2 Tl 0.500 0.500 0.500
Rh1 Rh 0.500 0.500 0.000
```

---

Crystalline YTlRh at its relaxed geometry, computed with PBE-GGA.

Output
**ΔH_f (0 K)**: -430.1 meV per atom

```
data_YTlRh
_symmetry_space_group_name_H-M 'I 4 m m'
_symmetry_Int_Tables_number 107
_symmetry_space_group_name_Hall 'I 4 -2'
_cell_length_a 3.649
_cell_length_b 3.649
_cell_length_c 9.765
_cell_angle_alpha 90.00
_cell_angle_beta 90.00
_cell_angle_gamma 90.00
loop_
_atom_site_label
_atom_site_type_symbol
_atom_site_fract_x
_atom_site_fract_y
_atom_site_fract_z
Y1 Y 0.000 0.000 0.000
Tl1 Tl 0.000 0.000 0.309
Rh1 Rh 0.000 0.000 0.650
```

---

Crystalline YTl2Rh at its relaxed geometry, computed with PBE-GGA.

Output
**ΔH_f (0 K)**: -298.1 meV per atom

```
data_YTl2Rh
_symmetry_space_group_name_H-M 'P 1 m 1'
_symmetry_Int_Tables_number 6
_symmetry_space_group_name_Hall 'P -2y'
_cell_length_a 3.909
_cell_length_b 3.783
_cell_length_c 7.114
_cell_angle_alpha 90.00
_cell_angle_beta 105.74
_cell_angle_gamma 90.00
loop_
_atom_site_label
_atom_site_type_symbol
_atom_site_fract_x
_atom_site_fract_y
_atom_site_fract_z
Y1 Y 0.000 0.000 0.000
Tl1 Tl 0.286 0.000 0.578
Tl2 Tl 0.653 0.500 0.309
Rh1 Rh 0.448 0.500 0.895
```

---

Crystalline Y2TlRh at its relaxed geometry, computed with PBE-GGA.

Output
**ΔH_f (0 K)**: -509.2 meV per atom

```
data_Y2TlRh
_symmetry_space_group_name_H-M 'C m m m'
_symmetry_Int_Tables_number 65
_symmetry_space_group_name_Hall '-C 2 2'
_cell_length_a 7.171
_cell_length_b 7.180
_cell_length_c 3.692
_cell_angle_alpha 90.00
_cell_angle_beta 90.00
_cell_angle_gamma 90.00
loop_
_atom_site_label
_atom_site_type_symbol
_atom_site_fract_x
_atom_site_fract_y
_atom_site_fract_z
Y1 Y 0.250 0.250 0.000
Tl1 Tl 0.000 0.000 0.500
Rh1 Rh 0.000 0.500 0.500
```